The following is a PBE-GGA calculation of a relaxed structure of CaTbIn2Te4, from Alexandria.

Results
**Spin magnetization**: 0.00 μB per cell
**Formation energy without anion corrections**: -0.919 eV/atom

Cell lengths 7.794, 4.448, 8.116 Å; angles 90.00, 108.31, 90.00 degrees
Space group P2/m (No. 10)
One atom of each set of equivalent atoms:
Ca (0.000, 0.000, 0.000) x1
Tb (0.500, 0.500, 0.000) x1
In (0.000, 0.500, 0.500) x1
In (0.500, 0.000, 0.500) x1
Te (0.257, 0.500, 0.237) x2
Te (0.266, 0.000, 0.768) x2

=====

The following is a PBE-GGA calculation of a relaxed structure of CaTb2In3Te6, from Alexandria.

Results
**Spin magnetization**: 0.00 μB per cell
**Formation energy without anion corrections**: -0.942 eV/atom

Cell lengths 7.721, 13.379, 8.232 Å; angles 90.00, 108.16, 90.00 degrees
Space group C2/m (No. 12)
One atom of each set of equivalent atoms:
Ca (0.000, 0.000, 0.000) x2
Tb (0.000, 0.333, 0.000) x4
In (0.000, 0.165, 0.500) x4
In (0.000, 0.500, 0.500) x2
Te (0.233, 0.500, 0.226) x4
Te (0.248, 0.171, 0.230) x8

=====

The following is a PBE-GGA calculation of a relaxed structure of CaTbTmIn, from Alexandria.

Results
**Spin magnetization**: 0.00 μB per cell
**E_form**: -119 meV/atom

Cell lengths 7.741, 7.741, 7.741 Å; angles 90.00, 90.00, 90.00 degrees
Space group F-43m (No. 216)
One atom of each set of equivalent atoms:
Ca (0.000, 0.000, 0.000) x4
Tb (0.250, 0.250, 0.250) x4
Tm (0.250, 0.250, 0.750) x4
In (0.000, 0.000, 0.500) x4

=====

The following is a PBE-GGA calculation of a relaxed structure of CaTbYIn, from Alexandria.

Results
**Spin magnetization**: 0.00 μB per cell
**E_form**: -155 meV/atom

Cell lengths 7.787, 7.787, 7.787 Å; angles 90.00, 90.00, 90.00 degrees
Space group F-43m (No. 216)
One atom of each set of equivalent atoms:
Ca (0.000, 0.000, 0.000) x4
Tb (0.250, 0.250, 0.750) x4
Y (0.250, 0.250, 0.250) x4
In (0.000, 0.000, 0.500) x4

=====

The following is a PBE-GGA calculation of a relaxed structure of CaTbZnIn, from Alexandria.

Results
**Spin magnetization**: 0.23 μB per cell
**E_form**: -388 meV/atom
**Polymorph energy (0 for the lowest one)**: 0.00 eV/f.u.

Cell lengths 3.673, 3.673, 7.661 Å; angles 90.00, 90.00, 90.00 degrees
Space group P4mm (No. 99)
One atom of each set of equivalent atoms:
Ca (0.000, 0.000, 0.000) x1
Tb (0.000, 0.000, 0.534) x1
Zn (0.500, 0.500, 0.754) x1
In (0.500, 0.500, 0.272) x1

=====

The following is a PBE-GGA calculation of a relaxed structure of CaTbZnIn, from Alexandria.

Results
**Spin magnetization**: 0.00 μB per cell
**E_form**: -384 meV/atom
**Polymorph energy (0 for the lowest one)**: 0.02 eV/f.u.

Cell lengths 7.450, 7.450, 7.450 Å; angles 90.00, 90.00, 90.00 degrees
Space group F-43m (No. 216)
One atom of each set of equivalent atoms:
Ca (0.000, 0.000, 0.000) x4
Tb (0.000, 0.000, 0.500) x4
Zn (0.250, 0.250, 0.250) x4
In (0.250, 0.250, 0.750) x4

=====

The following is a PBE-GGA calculation of a relaxed structure of Ca2InTc, from Alexandria.

Results
**Spin magnetization**: 0.00 μB per cell
**E_form**: 217 meV/atom

Cell lengths 3.939, 5.041, 9.935 Å; angles 90.00, 90.00, 90.00 degrees
Space group Imm2 (No. 44)
One atom of each set of equivalent atoms:
Ca (0.000, 0.000, 0.000) x2
Ca (0.000, 0.500, 0.217) x2
In (0.000, 0.000, 0.445) x2
Tc (0.000, 0.500, 0.756) x2

=====

The following is a PBE-GGA calculation of a relaxed structure of CaInTc2, from Alexandria.

Results
**Spin magnetization**: 1.25 μB per cell
**E_form**: 657 meV/atom

Cell lengths 2.874, 2.874, 9.195 Å; angles 90.00, 90.00, 90.00 degrees
Space group P4/mmm (No. 123)
One atom of each set of equivalent atoms:
Ca (0.000, 0.000, 0.000) x1
In (0.000, 0.000, 0.500) x1
Tc (0.500, 0.500, 0.270) x2

=====

The following is a PBE-GGA calculation of a relaxed structure of Ca2InTc, from Alexandria.

Results
**Spin magnetization**: 1.77 μB per cell
**E_form**: 267 meV/atom

Cell lengths 3.431, 3.431, 8.499 Å; angles 90.00, 90.00, 90.00 degrees
Space group P4/mmm (No. 123)
One atom of each set of equivalent atoms:
Ca (0.000, 0.000, 0.224) x2
In (0.500, 0.500, 0.500) x1
Tc (0.500, 0.500, 0.000) x1

=====

The following is a PBE-GGA calculation of a relaxed structure of CaInTc2, from Alexandria.

Results
**Spin magnetization**: 0.00 μB per cell
**E_form**: 308 meV/atom

Cell lengths 3.355, 4.866, 9.653 Å; angles 90.00, 90.00, 90.00 degrees
Space group Imm2 (No. 44)
One atom of each set of equivalent atoms:
Ca (0.000, 0.000, 0.000) x2
In (0.000, 0.500, 0.783) x2
Tc (0.000, 0.000, 0.541) x2
Tc (0.000, 0.500, 0.226) x2

=====

The following is a PBE-GGA calculation of a relaxed structure of CaInTc2, from Alexandria.

Results
**Spin magnetization**: 0.00 μB per cell
**E_form**: 49 meV/atom

Cell lengths 3.113, 3.113, 8.271 Å; angles 90.00, 90.00, 90.00 degrees
Space group P4mm (No. 99)
One atom of each set of equivalent atoms:
Ca (0.000, 0.000, 0.000) x1
In (0.500, 0.500, 0.319) x1
Tc (0.000, 0.000, 0.568) x1
Tc (0.500, 0.500, 0.723) x1

=====

The following is a PBE-GGA calculation of a relaxed structure of Ca2InTc, from Alexandria.

Results
**Spin magnetization**: 3.24 μB per cell
**E_form**: 384 meV/atom

Cell lengths 3.3687, 3.3687, 30.3459 Å; angles 90.00, 90.00, 120.00 degrees
Space group R-3m (No. 166, hexagonal axes)
One atom of each set of equivalent atoms:
Ca (0.0000, 0.0000, 0.2413) x6
In (0.0000, 0.0000, 0.0000) x3
Tc (0.0000, 0.0000, 0.5000) x3

=====

The following is a PBE-GGA calculation of a relaxed structure of Ca2InTc, from Alexandria.

Results
**Spin magnetization**: 0.00 μB per cell
**E_form**: 343 meV/atom

Cell lengths 6.483, 9.409, 3.089 Å; angles 90.00, 90.00, 90.00 degrees
Space group Cmmm (No. 65)
One atom of each set of equivalent atoms:
Ca (0.250, 0.250, 0.000) x4
In (0.000, 0.000, 0.500) x2
Tc (0.000, 0.500, 0.500) x2

=====

The following is a PBE-GGA calculation of a relaxed structure of CaInTc2, from Alexandria.

Results
**Spin magnetization**: 0.00 μB per cell
**E_form**: 525 meV/atom

Cell lengths 3.458, 4.615, 4.637 Å; angles 90.00, 90.00, 90.00 degrees
Space group Pmmm (No. 47)
One atom of each set of equivalent atoms:
Ca (0.000, 0.000, 0.000) x1
In (0.500, 0.500, 0.000) x1
Tc (0.000, 0.500, 0.500) x1
Tc (0.500, 0.000, 0.500) x1

=====

The following is a PBE-GGA calculation of a relaxed structure of Ca4InTc, from Alexandria.

Results
**Spin magnetization**: 7.80 μB per cell
**E_form**: 801 meV/atom

Cell lengths 8.910, 8.910, 8.910 Å; angles 90.00, 90.00, 90.00 degrees
Space group F-43m (No. 216)
One atom of each set of equivalent atoms:
Ca (0.124, 0.124, 0.376) x16
In (0.000, 0.000, 0.000) x4
Tc (0.250, 0.250, 0.750) x4

=====

The following is a PBE-GGA calculation of a relaxed structure of CaInTc2, from Alexandria.

Results
**Spin magnetization**: 0.00 μB per cell
**E_form**: 505 meV/atom

Cell lengths 2.947, 4.938, 5.439 Å; angles 90.00, 95.42, 90.00 degrees
Space group P2/m (No. 10)
One atom of each set of equivalent atoms:
Ca (0.000, 0.000, 0.000) x1
In (0.500, 0.000, 0.500) x1
Tc (0.364, 0.500, 0.789) x2

=====

The following is a PBE-GGA calculation of a relaxed structure of CaInTc2, from Alexandria.

Results
**Spin magnetization**: 0.00 μB per cell
**E_form**: 625 meV/atom

Cell lengths 3.475, 4.571, 9.405 Å; angles 90.00, 90.00, 90.00 degrees
Space group Cmmm (No. 65)
One atom of each set of equivalent atoms:
Ca (0.000, 0.000, 0.000) x2
In (0.000, 0.000, 0.500) x2
Tc (0.000, 0.500, 0.266) x4

=====

The following is a PBE-GGA calculation of a relaxed structure of CaInTc2, from Alexandria.

Results
**Spin magnetization**: 2.11 μB per cell
**E_form**: 687 meV/atom

Cell lengths 3.0244, 3.0244, 28.5386 Å; angles 90.00, 90.00, 120.00 degrees
Space group R-3m (No. 166, hexagonal axes)
One atom of each set of equivalent atoms:
Ca (0.0000, 0.0000, 0.0000) x3
In (0.0000, 0.0000, 0.5000) x3
Tc (0.0000, 0.0000, 0.2450) x6

=====

The following is a PBE-GGA calculation of a relaxed structure of CaIn3Tc, from Alexandria.

Results
**Spin magnetization**: 0.00 μB per cell
**E_form**: 23 meV/atom
**Polymorph energy (0 for the lowest one)**: 0.00 eV/f.u.

Cell lengths 5.196, 5.196, 5.196 Å; angles 90.00, 90.00, 90.00 degrees
Space group Pm-3m (No. 221)
One atom of each set of equivalent atoms:
Ca (0.000, 0.000, 0.000) x1
In (0.000, 0.500, 0.500) x3
Tc (0.500, 0.500, 0.500) x1

=====

The following is a PBE-GGA calculation of a relaxed structure of CaInTc2, from Alexandria.

Results
**Spin magnetization**: 0.00 μB per cell
**E_form**: 544 meV/atom

Cell lengths 5.825, 9.556, 2.810 Å; angles 90.00, 109.57, 90.00 degrees
Space group C2/m (No. 12)
One atom of each set of equivalent atoms:
Ca (0.000, 0.000, 0.000) x2
In (0.000, 0.500, 0.000) x2
Tc (0.250, 0.250, 0.500) x4